The following is a DFT calculation (GGA+U) of an optimized crystal structure of Ba3Np2FeO9.

Properties
- space group = No. 164
- VASP energy (eV/atom) = -8.191
- crystal system = trigonal

a b c (Å): 6.043 6.043 7.455
angles (deg): 90.00 90.00 120.00
Element x y z (fractional)
Ba: 0.000 0.000 0.000
Ba: 0.333 0.667 0.656
Ba: 0.667 0.333 0.344
Np: 0.333 0.667 0.177
Np: 0.667 0.333 0.823
Fe: 0.000 0.000 0.500
O: 0.000 0.500 0.000
O: 0.162 0.324 0.340
O: 0.162 0.838 0.340
O: 0.324 0.162 0.660
O: 0.500 0.000 0.000
O: 0.500 0.500 0.000
O: 0.676 0.838 0.340
O: 0.838 0.162 0.660
O: 0.838 0.676 0.660